[1]
A relaxed TbDy5Cd6 crystal, computed with PBE-GGA.

Properties
energy of formation: -0.319 eV per atom
symmetry: P2/m (10)
calculated total energy: -3.080 eV/atom

Cell: 5.2879 7.5122 8.3661 Å, 90.00 108.30 90.00°
With the nearest neighbours (Å) after each atom.
Element x y z (fractional)
Tb 0.0000 0.0000 0.0000  8 Cd 3.24-3.25
Dy 0.0000 0.5000 0.0000  8 Cd 3.24-3.25
Dy 0.3329 0.0000 0.6661  8 Cd 3.24-3.25
Dy 0.3336 0.5000 0.6674  8 Cd 3.24
Dy 0.6664 0.5000 0.3326  8 Cd 3.24
Dy 0.6671 0.0000 0.3339  8 Cd 3.24-3.25
Cd 0.1672 0.2509 0.3340  7 Dy 3.24-3.25, 1 Tb 3.25
Cd 0.1672 0.7491 0.3340  7 Dy 3.24-3.25, 1 Tb 3.25
Cd 0.5000 0.2504 0.0000  6 Dy 3.24-3.25, 2 Tb 3.24
Cd 0.5000 0.7496 0.0000  6 Dy 3.24-3.25, 2 Tb 3.24
Cd 0.8328 0.2509 0.6660  7 Dy 3.24-3.25, 1 Tb 3.25
Cd 0.8328 0.7491 0.6660  7 Dy 3.24-3.25, 1 Tb 3.25

[2]
A relaxed KCaSb2 crystal, computed with PBE-GGA.

Properties
E_form (uncorrected): -0.417 eV/atom
symmetry: Fm-3m (225)
ΔE to the lowest computed polymorph: 0.89 eV/f.u.
calculated total energy: -3.252 eV/atom

Cell: 7.9484 7.9484 7.9484 Å, 90.00 90.00 90.00°
With the nearest neighbours (Å) after each atom.
Element x y z (fractional)
K 0.0000 0.0000 0.0000  8 Sb 3.44
K 0.0000 0.5000 0.5000  8 Sb 3.44
K 0.5000 0.0000 0.5000  8 Sb 3.44
K 0.5000 0.5000 0.0000  8 Sb 3.44
Ca 0.0000 0.0000 0.5000  8 Sb 3.44
Ca 0.0000 0.5000 0.0000  8 Sb 3.44
Ca 0.5000 0.0000 0.0000  8 Sb 3.44
Ca 0.5000 0.5000 0.5000  8 Sb 3.44
Sb 0.2500 0.2500 0.2500  4 K 3.44, 4 Ca 3.44
Sb 0.2500 0.2500 0.7500  4 K 3.44, 4 Ca 3.44
Sb 0.2500 0.7500 0.2500  4 K 3.44, 4 Ca 3.44
Sb 0.2500 0.7500 0.7500  4 K 3.44, 4 Ca 3.44
Sb 0.7500 0.2500 0.2500  4 K 3.44, 4 Ca 3.44
Sb 0.7500 0.2500 0.7500  4 K 3.44, 4 Ca 3.44
Sb 0.7500 0.7500 0.2500  4 K 3.44, 4 Ca 3.44
Sb 0.7500 0.7500 0.7500  4 K 3.44, 4 Ca 3.44

[3]
A relaxed Ce3ThGe4 crystal, computed with PBE-GGA.

Properties
energy of formation: -0.677 eV per atom
symmetry: I4/mmm (139)
calculated total energy: -6.139 eV/atom

Cell: 6.0157 6.0157 12.0274 Å, 90.00 90.00 90.00°
With the nearest neighbours (Å) after each atom.
Element x y z (fractional)
Ce 0.0000 0.0000 0.0000  6 Ge 2.97-3.01
Ce 0.0000 0.5000 0.2500  6 Ge 3.01
Ce 0.0000 0.5000 0.7500  6 Ge 3.01
Ce 0.5000 0.0000 0.2500  6 Ge 3.01
Ce 0.5000 0.0000 0.7500  6 Ge 3.01
Ce 0.5000 0.5000 0.5000  6 Ge 2.97-3.01
Th 0.0000 0.0000 0.5000  6 Ge 3.01-3.05
Th 0.5000 0.5000 0.0000  6 Ge 3.01-3.05
Ge 0.0000 0.0000 0.2467  5 Ce 2.97-3.01, 1 Th 3.05
Ge 0.0000 0.0000 0.7533  5 Ce 2.97-3.01, 1 Th 3.05
Ge 0.0000 0.5000 0.0000  4 Ce 3.01, 2 Th 3.01
Ge 0.0000 0.5000 0.5000  4 Ce 3.01, 2 Th 3.01
Ge 0.5000 0.0000 0.0000  4 Ce 3.01, 2 Th 3.01
Ge 0.5000 0.0000 0.5000  4 Ce 3.01, 2 Th 3.01
Ge 0.5000 0.5000 0.2533  5 Ce 2.97-3.01, 1 Th 3.05
Ge 0.5000 0.5000 0.7467  5 Ce 2.97-3.01, 1 Th 3.05

[4]
A relaxed Rb2MgCdCl6 crystal, computed with PBE-GGA.

Properties
E_form (uncorrected): -1.678 eV/atom
symmetry: R-3m (166)
calculated total energy: -3.231 eV/atom

Cell: 13.0518 13.0518 13.0518 Å, 32.56 32.56 32.56°
With the nearest neighbours (Å) after each atom.
Element x y z (fractional)
Rb 0.1253 0.1253 0.1253  12 Cl 3.66-3.78
Rb 0.2912 0.2912 0.2912  12 Cl 3.66-3.80
Rb 0.7088 0.7088 0.7088  12 Cl 3.66-3.80
Rb 0.8747 0.8747 0.8747  12 Cl 3.66-3.78
Mg 0.0000 0.0000 0.0000  6 Cl 2.52
Mg 0.5000 0.5000 0.5000  6 Cl 2.53
Cd 0.4123 0.4123 0.4123  6 Cl 2.62-2.67
Cd 0.5877 0.5877 0.5877  6 Cl 2.62-2.67
Cl 0.1394 0.6190 0.6190  1 Mg 2.53, 1 Cd 2.67
Cl 0.2009 0.2009 0.7169  1 Mg 2.52, 1 Cd 2.62
Cl 0.2009 0.7169 0.2009  1 Mg 2.52, 1 Cd 2.62
Cl 0.2831 0.7991 0.7991  1 Mg 2.52, 1 Cd 2.62
Cl 0.3810 0.3810 0.8606  1 Mg 2.53, 1 Cd 2.67
Cl 0.3810 0.8606 0.3810  1 Mg 2.53, 1 Cd 2.67
Cl 0.6190 0.1394 0.6190  1 Mg 2.53, 1 Cd 2.67
Cl 0.6190 0.6190 0.1394  1 Mg 2.53, 1 Cd 2.67
Cl 0.7169 0.2009 0.2009  1 Mg 2.52, 1 Cd 2.62
Cl 0.7991 0.2831 0.7991  1 Mg 2.52, 1 Cd 2.62
Cl 0.7991 0.7991 0.2831  1 Mg 2.52, 1 Cd 2.62
Cl 0.8606 0.3810 0.3810  1 Mg 2.53, 1 Cd 2.67

[5]
A relaxed NaNp2O6 crystal, computed with PBE-GGA.

Properties
E_form (uncorrected): -2.633 eV/atom
symmetry: P-31m (162)
ΔE to the lowest computed polymorph: 0.00 eV/f.u.
calculated total energy: -8.960 eV/atom

Cell: 5.8514 5.8514 4.9356 Å, 90.00 90.00 120.00°
With the nearest neighbours (Å) after each atom.
Element x y z (fractional)
Na 0.0000 0.0000 0.0000  6 O 2.61
Np 0.3333 0.6667 0.5000  6 O 2.12
Np 0.6667 0.3333 0.5000  6 O 2.12
O 0.0000 0.3721 0.7086  2 Np 2.12
O 0.0000 0.6279 0.2914  2 Np 2.12
O 0.3721 0.0000 0.7086  2 Np 2.12
O 0.3721 0.3721 0.2914  2 Np 2.12
O 0.6279 0.0000 0.2914  2 Np 2.12
O 0.6279 0.6279 0.7086  2 Np 2.12

[6]
A relaxed Tb8Al2Hg crystal, computed with PBE-GGA.

Properties
energy of formation: -0.189 eV per atom
symmetry: C2/m (12)
ΔE to the lowest computed polymorph: 0.00 eV/f.u.
calculated total energy: -4.264 eV/atom

Cell: 9.4251 9.4251 7.0216 Å, 103.61 103.61 31.34°
With the nearest neighbours (Å) after each atom.
Element x y z (fractional)
Tb 0.0242 0.0242 0.2582  1 Al 3.09, 2 Hg 3.15
Tb 0.2012 0.2012 0.7973  3 Al 3.05-3.24, 1 Tb 3.37
Tb 0.3370 0.3370 0.5440  3 Al 3.03-3.12, 1 Hg 3.05, 2 Tb 3.37
Tb 0.4051 0.4051 0.0352  1 Hg 3.30, 2 Al 3.36, 7 Tb 3.37-3.67
Tb 0.5949 0.5949 0.9648  1 Hg 3.30, 2 Al 3.36, 7 Tb 3.37-3.67
Tb 0.6630 0.6630 0.4560  3 Al 3.03-3.12, 1 Hg 3.05, 2 Tb 3.37
Tb 0.7988 0.7988 0.2027  3 Al 3.05-3.24, 1 Tb 3.37
Tb 0.9758 0.9758 0.7418  1 Al 3.09, 2 Hg 3.15
Al 0.1905 0.1905 0.2247  9 Tb 3.03-3.36
Al 0.8095 0.8095 0.7753  9 Tb 3.03-3.36
Hg 0.5000 0.5000 0.5000  8 Tb 3.05-3.30

[7]
A relaxed Na4U3PbSe8 crystal, computed with PBE-GGA.

Properties
E_form (uncorrected): -1.113 eV/atom
symmetry: R-3m (166)
calculated total energy: -5.534 eV/atom

Cell: 8.5214 8.5214 8.5214 Å, 59.81 59.81 59.81°
With the nearest neighbours (Å) after each atom.
Element x y z (fractional)
Na 0.0000 0.0000 0.0000  6 Se 2.99
Na 0.0000 0.5000 0.5000  6 Se 3.09-3.12
Na 0.5000 0.0000 0.5000  6 Se 3.09-3.12
Na 0.5000 0.5000 0.0000  6 Se 3.09-3.12
U 0.0000 0.0000 0.5000  6 Se 2.90-2.93
U 0.0000 0.5000 0.0000  6 Se 2.90-2.93
U 0.5000 0.0000 0.0000  6 Se 2.90-2.93
Pb 0.5000 0.5000 0.5000  6 Se 3.04
Se 0.2294 0.7523 0.7523  2 U 2.90, 3 Na 2.99-3.12, 1 Pb 3.04
Se 0.2434 0.2434 0.2434  3 U 2.93, 3 Na 3.09
Se 0.2477 0.2477 0.7706  2 U 2.90, 3 Na 2.99-3.12, 1 Pb 3.04
Se 0.2477 0.7706 0.2477  2 U 2.90, 3 Na 2.99-3.12, 1 Pb 3.04
Se 0.7523 0.2294 0.7523  2 U 2.90, 3 Na 2.99-3.12, 1 Pb 3.04
Se 0.7523 0.7523 0.2294  2 U 2.90, 3 Na 2.99-3.12, 1 Pb 3.04
Se 0.7566 0.7566 0.7566  3 U 2.93, 3 Na 3.09
Se 0.7706 0.2477 0.2477  2 U 2.90, 3 Na 2.99-3.12, 1 Pb 3.04

[8]
A relaxed La2TaHg crystal, computed with PBE-GGA.

Properties
energy of formation: 0.258 eV per atom
symmetry: Pmm2 (25)
calculated total energy: -5.244 eV/atom

Cell: 3.4055 4.0178 7.7006 Å, 90.00 90.00 90.00°
With the nearest neighbours (Å) after each atom.
Element x y z (fractional)
La 0.0000 0.0000 0.0000  4 Hg 3.29, 1 Ta 3.37, 6 La 3.41-3.55
La 0.5000 0.5000 0.3101  4 Ta 3.27, 1 Hg 3.33, 6 La 3.41-3.55
Ta 0.0000 0.0000 0.5624  4 Hg 2.98, 4 La 3.27
Hg 0.5000 0.5000 0.7430  4 Ta 2.98, 5 La 3.29-3.33

[9]
A relaxed NbClF3 crystal, computed with PBE-GGA.

Properties
E_form (uncorrected): -2.213 eV/atom
symmetry: R-3m (166)
ΔE to the lowest computed polymorph: 0.00 eV/f.u.
calculated total energy: -5.719 eV/atom

Cell: 7.3557 7.3557 7.3557 Å, 51.96 51.96 51.96°
With the nearest neighbours (Å) after each atom.
Element x y z (fractional)
Nb 0.0822 0.0822 0.0822  3 F 1.88
Nb 0.9178 0.9178 0.9178  3 F 1.88
Cl 0.2066 0.2066 0.2066  1 Nb 2.37
Cl 0.7934 0.7934 0.7934  1 Nb 2.37
F 0.2344 0.2344 0.7335  1 Nb 1.88
F 0.2344 0.7335 0.2344  1 Nb 1.88
F 0.2665 0.7656 0.7656  1 Nb 1.88
F 0.7335 0.2344 0.2344  1 Nb 1.88
F 0.7656 0.2665 0.7656  1 Nb 1.88
F 0.7656 0.7656 0.2665  1 Nb 1.88

[10]
A relaxed Gd2PaTl crystal, computed with PBE-GGA.

Properties
energy of formation: 0.068 eV per atom
symmetry: P4/mmm (123)
ΔE to the lowest computed polymorph: 0.49 eV/f.u.
calculated total energy: -9.938 eV/atom

Cell: 4.8971 4.8971 4.5834 Å, 90.00 90.00 90.00°
With the nearest neighbours (Å) after each atom.
Element x y z (fractional)
Gd 0.0000 0.5000 0.0000  4 Tl 3.35, 4 Pa 3.35, 4 Gd 3.46
Gd 0.5000 0.0000 0.0000  4 Tl 3.35, 4 Pa 3.35, 4 Gd 3.46
Pa 0.0000 0.0000 0.5000  8 Gd 3.35, 4 Tl 3.46
Tl 0.5000 0.5000 0.5000  8 Gd 3.35, 4 Pa 3.46

[11]
A relaxed TaHg2Os crystal, computed with PBE-GGA.

Properties
energy of formation: 1.129 eV per atom
symmetry: I-42d (122)
ΔE to the lowest computed polymorph: 3.56 eV/f.u.
calculated total energy: -4.792 eV/atom

Cell: 7.6745 7.6745 5.4563 Å, 90.00 90.00 90.00°
With the nearest neighbours (Å) after each atom.
Element x y z (fractional)
Ta 0.0000 0.0000 0.0000  2 Os 2.73, 4 Hg 2.85
Ta 0.0000 0.5000 0.2500  2 Os 2.73, 4 Hg 2.85
Ta 0.5000 0.0000 0.7500  2 Os 2.73, 4 Hg 2.85
Ta 0.5000 0.5000 0.5000  2 Os 2.73, 4 Hg 2.85
Hg 0.2399 0.7500 0.6250  2 Hg 2.73, 2 Os 2.75, 2 Ta 2.85
Hg 0.2500 0.2399 0.3750  2 Hg 2.73, 2 Os 2.75, 2 Ta 2.85
Hg 0.2500 0.2601 0.8750  2 Hg 2.73, 2 Os 2.75, 2 Ta 2.85
Hg 0.2601 0.7500 0.1250  2 Hg 2.73, 2 Os 2.75, 2 Ta 2.85
Hg 0.7399 0.2500 0.1250  2 Hg 2.73, 2 Os 2.75, 2 Ta 2.85
Hg 0.7500 0.7399 0.8750  2 Hg 2.73, 2 Os 2.75, 2 Ta 2.85
Hg 0.7500 0.7601 0.3750  2 Hg 2.73, 2 Os 2.75, 2 Ta 2.85
Hg 0.7601 0.2500 0.6250  2 Hg 2.73, 2 Os 2.75, 2 Ta 2.85
Os 0.0000 0.0000 0.5000  2 Ta 2.73, 4 Hg 2.75
Os 0.0000 0.5000 0.7500  2 Ta 2.73, 4 Hg 2.75
Os 0.5000 0.0000 0.2500  2 Ta 2.73, 4 Hg 2.75
Os 0.5000 0.5000 0.0000  2 Ta 2.73, 4 Hg 2.75

[12]
A relaxed Sr5Ga2Sn crystal, computed with PBE-GGA.

Properties
energy of formation: -0.446 eV per atom
symmetry: I4/mcm (140)
calculated total energy: -2.755 eV/atom

Cell: 10.0358 10.0358 10.0358 Å, 129.90 129.90 73.56°
With the nearest neighbours (Å) after each atom.
Element x y z (fractional)
Sr 0.0000 0.0000 0.0000  4 Ga 3.47, 8 Sr 3.86
Sr 0.0379 0.5379 0.8576  3 Ga 3.37-3.44, 2 Sn 3.58
Sr 0.1804 0.0379 0.5000  3 Ga 3.37-3.44, 2 Sn 3.58
Sr 0.3196 0.8196 0.8576  3 Ga 3.37-3.44, 2 Sn 3.58
Sr 0.4621 0.3196 0.5000  3 Ga 3.37-3.44, 2 Sn 3.58
Sr 0.5000 0.5000 0.0000  4 Ga 3.47, 8 Sr 3.86
Sr 0.5379 0.6804 0.5000  3 Ga 3.37-3.44, 2 Sn 3.58
Sr 0.6804 0.1804 0.1424  3 Ga 3.37-3.44, 2 Sn 3.58
Sr 0.8196 0.9621 0.5000  3 Ga 3.37-3.44, 2 Sn 3.58
Sr 0.9621 0.4621 0.1424  3 Ga 3.37-3.44, 2 Sn 3.58
Ga 0.1058 0.3942 0.5000  1 Ga 2.54
Ga 0.3942 0.8942 0.2884  1 Ga 2.54
Ga 0.6058 0.1058 0.7116  1 Ga 2.54
Ga 0.8942 0.6058 0.5000  1 Ga 2.54
Sn 0.2500 0.2500 0.0000  8 Sr 3.58
Sn 0.7500 0.7500 0.0000  8 Sr 3.58

Question: Which value of calculated total energy does entry 11 give?
Answer: -4.792 eV/atom